GGA-PBE AcP2PdPt5, relaxed; DOS at the Fermi energy = 6.34 states/eV per cell; energy of formation from the pure elements = -541 meV per atom; electronic total energy = -6.133 eV per atom
1.0
-0.874 3.207 2.657
-3.708 0.636 -1.988
-4.401 -6.324 6.186
Pt Ac Pd P
5 1 1 2
direct
0.500 0.000 0.827
0.000 0.500 0.827
0.500 0.000 0.173
0.500 0.500 0.500
0.000 0.500 0.173
0.000 0.000 0.500
0.000 0.000 0.000
0.500 0.500 0.733
0.500 0.500 0.267